Entry from Alexandria via LeMat-Bulk: an optimized crystal structure of GaSnN2F (PBE-GGA).

Cell: 4.178 4.178 4.254 Å, 90.00 90.00 90.00°
Site moments in Bohr magnetons follow the coordinates.
Fractional positions:
N 0.000 0.500 0.000  0.60
N 0.500 0.000 0.000  0.60
Sn 0.000 0.000 0.000  -0.01
Ga 0.500 0.500 0.500  0.12
F 0.000 0.000 0.500  -0.01

Properties
The final energy comes out at -4.748 eV/atom. For the uncorrected formation energy, the calculation gives 362 meV/atom.



Entry from Alexandria via LeMat-Bulk: an optimized crystal structure of ErAl3 (PBE-GGA).

Cell: 12.427 12.427 12.427 Å, 28.28 28.28 28.28°
Fractional positions:
Er 0.000 0.000 0.000
Er 0.869 0.869 0.869
Er 0.131 0.131 0.131
Er 0.600 0.600 0.600
Er 0.400 0.400 0.400
Al 0.869 0.365 0.365
Al 0.365 0.365 0.869
Al 0.365 0.869 0.365
Al 0.635 0.131 0.635
Al 0.635 0.635 0.131
Al 0.131 0.635 0.635
Al 0.567 0.117 0.117
Al 0.117 0.117 0.567
Al 0.117 0.567 0.117
Al 0.883 0.433 0.883
Al 0.883 0.883 0.433
Al 0.433 0.883 0.883
Al 0.500 0.500 0.000
Al 0.500 0.000 0.500
Al 0.000 0.500 0.500

Properties
The final energy comes out at -4.366 eV/atom.